Here is Sr2CrMoO6 after structural relaxation from the Alexandria database. Energies are from GGA+U.

It has space group Fm-3m (No. 225), with a = 7.962 Å, b = 7.962 Å, c = 7.962 Å, α = 90.00°, β = 90.00° and γ = 90.00°. The distinct sites, in fractional coordinates, are Sr at (0.250, 0.250, 0.250), Cr at (0.000, 0.000, 0.000), Mo at (0.000, 0.000, 0.500) and O at (0.000, 0.000, 0.251).

The energy above the most stable polymorph in this dataset is 30.2 kJ/mol of formula units.